No. 1
# GGA-PBE Fe2SbTe, optimized geometry
data_Fe2SbTe
_symmetry_space_group_name_H-M 'I -4 2 d'
_symmetry_Int_Tables_number 122
_symmetry_space_group_name_Hall 'I -4 2bw'
_cell_length_a 5.712
_cell_length_b 5.712
_cell_length_c 11.315
_cell_angle_alpha 90.00
_cell_angle_beta 90.00
_cell_angle_gamma 90.00
loop_
_atom_site_label
_atom_site_type_symbol
_atom_site_fract_x
_atom_site_fract_y
_atom_site_fract_z
_atom_site_occupancy
Fe1 Fe 0.246 0.250 0.125 1
Sb1 Sb 0.000 0.000 0.500 1
Te1 Te 0.000 0.000 0.000 1
# - total DFT energy (no corrections) (eV/atom) = -5.48

---

No. 2
# GGA-PBE FeSbTe4, optimized geometry
data_FeSbTe4
_symmetry_space_group_name_H-M 'F -4 3 m'
_symmetry_Int_Tables_number 216
_symmetry_space_group_name_Hall 'F -4 2 3'
_cell_length_a 8.871
_cell_length_b 8.871
_cell_length_c 8.871
_cell_angle_alpha 90.00
_cell_angle_beta 90.00
_cell_angle_gamma 90.00
loop_
_atom_site_label
_atom_site_type_symbol
_atom_site_fract_x
_atom_site_fract_y
_atom_site_fract_z
_atom_site_occupancy
Fe1 Fe 0.000 0.000 0.000 1
Sb1 Sb 0.250 0.250 0.750 1
Te1 Te 0.125 0.125 0.375 1
# - total DFT energy (no corrections) (eV/atom) = -3.29

---

No. 3
# GGA-PBE Fe2SbTe, optimized geometry
data_Fe2SbTe
_symmetry_space_group_name_H-M 'C 1 m 1'
_symmetry_Int_Tables_number 8
_cell_length_a 7.859
_cell_length_b 3.394
_cell_length_c 6.655
_cell_angle_alpha 90.00
_cell_angle_beta 106.14
_cell_angle_gamma 90.00
loop_
_symmetry_equiv_pos_as_xyz
'x,y,z'
'x,-y,z'
'x+1/2,y+1/2,z'
'x+1/2,-y+1/2,z'
loop_
_atom_site_label
_atom_site_type_symbol
_atom_site_fract_x
_atom_site_fract_y
_atom_site_fract_z
_atom_site_occupancy
Fe1 Fe 0.000 0.000 0.000 1
Fe2 Fe 0.236 0.500 0.124 1
Sb1 Sb 0.242 0.000 0.800 1
Te1 Te 0.489 0.000 0.321 1
# - total DFT energy (no corrections) (eV/atom) = -5.94

---

No. 4
# GGA-PBE Fe2SbTe, optimized geometry
data_Fe2SbTe
_symmetry_space_group_name_H-M 'I m m 2'
_symmetry_Int_Tables_number 44
_cell_length_a 3.218
_cell_length_b 4.009
_cell_length_c 13.507
_cell_angle_alpha 90.00
_cell_angle_beta 90.00
_cell_angle_gamma 90.00
loop_
_symmetry_equiv_pos_as_xyz
'x,y,z'
'-x,-y,z'
'-x,y,z'
'x,-y,z'
'x+1/2,y+1/2,z+1/2'
'-x+1/2,-y+1/2,z+1/2'
'-x+1/2,y+1/2,z+1/2'
'x+1/2,-y+1/2,z+1/2'
loop_
_atom_site_label
_atom_site_type_symbol
_atom_site_fract_x
_atom_site_fract_y
_atom_site_fract_z
_atom_site_occupancy
Fe1 Fe 0.000 0.000 0.000 1
Fe2 Fe 0.000 0.500 0.097 1
Sb1 Sb 0.000 0.500 0.670 1
Te1 Te 0.000 0.000 0.428 1
# - total DFT energy (no corrections) (eV/atom) = -5.83

---

No. 5
# GGA-PBE FeSb4Te, optimized geometry
data_FeSb4Te
_symmetry_space_group_name_H-M 'F -4 3 m'
_symmetry_Int_Tables_number 216
_symmetry_space_group_name_Hall 'F -4 2 3'
_cell_length_a 8.769
_cell_length_b 8.769
_cell_length_c 8.769
_cell_angle_alpha 90.00
_cell_angle_beta 90.00
_cell_angle_gamma 90.00
loop_
_atom_site_label
_atom_site_type_symbol
_atom_site_fract_x
_atom_site_fract_y
_atom_site_fract_z
_atom_site_occupancy
Fe1 Fe 0.000 0.000 0.000 1
Sb1 Sb 0.125 0.125 0.625 1
Te1 Te 0.250 0.250 0.250 1
# - total DFT energy (no corrections) (eV/atom) = -3.94

---

No. 6
# GGA-PBE TiFeSb2Te, optimized geometry
data_TiFeSb2Te
_symmetry_space_group_name_H-M 'P 4/m m m'
_symmetry_Int_Tables_number 123
_symmetry_space_group_name_Hall '-P 4 2'
_cell_length_a 4.758
_cell_length_b 4.758
_cell_length_c 5.409
_cell_angle_alpha 90.00
_cell_angle_beta 90.00
_cell_angle_gamma 90.00
loop_
_atom_site_label
_atom_site_type_symbol
_atom_site_fract_x
_atom_site_fract_y
_atom_site_fract_z
_atom_site_occupancy
Ti1 Ti 0.000 0.000 0.000 1
Fe1 Fe 0.500 0.500 0.500 1
Sb1 Sb 0.000 0.500 0.500 1
Te1 Te 0.500 0.500 0.000 1
# - excess energy over the best structure of this formula in the dataset (meV/atom) = 0

---

No. 7
# GGA-PBE TiFeSbTe2, optimized geometry
data_TiFeSbTe2
_symmetry_space_group_name_H-M 'P 4/m m m'
_symmetry_Int_Tables_number 123
_symmetry_space_group_name_Hall '-P 4 2'
_cell_length_a 5.810
_cell_length_b 5.810
_cell_length_c 5.157
_cell_angle_alpha 90.00
_cell_angle_beta 90.00
_cell_angle_gamma 90.00
loop_
_atom_site_label
_atom_site_type_symbol
_atom_site_fract_x
_atom_site_fract_y
_atom_site_fract_z
_atom_site_occupancy
Ti1 Ti 0.000 0.000 0.000 1
Fe1 Fe 0.500 0.500 0.000 1
Sb1 Sb 0.000 0.000 0.500 1
Te1 Te 0.000 0.500 0.500 1
# - excess energy over the best structure of this formula in the dataset (meV/atom) = 674

---

No. 8
# GGA-PBE TiFeSbTe2, optimized geometry
data_TiFeSbTe2
_symmetry_space_group_name_H-M 'P 4/m m m'
_symmetry_Int_Tables_number 123
_symmetry_space_group_name_Hall '-P 4 2'
_cell_length_a 5.204
_cell_length_b 5.204
_cell_length_c 4.751
_cell_angle_alpha 90.00
_cell_angle_beta 90.00
_cell_angle_gamma 90.00
loop_
_atom_site_label
_atom_site_type_symbol
_atom_site_fract_x
_atom_site_fract_y
_atom_site_fract_z
_atom_site_occupancy
Ti1 Ti 0.000 0.000 0.000 1
Fe1 Fe 0.500 0.500 0.500 1
Sb1 Sb 0.500 0.500 0.000 1
Te1 Te 0.000 0.500 0.500 1
# - excess energy over the best structure of this formula in the dataset (meV/atom) = 0

---

No. 9
# GGA-PBE TiFeSb2Te, optimized geometry
data_TiFeSb2Te
_symmetry_space_group_name_H-M 'P 4/m m m'
_symmetry_Int_Tables_number 123
_symmetry_space_group_name_Hall '-P 4 2'
_cell_length_a 5.254
_cell_length_b 5.254
_cell_length_c 5.237
_cell_angle_alpha 90.00
_cell_angle_beta 90.00
_cell_angle_gamma 90.00
loop_
_atom_site_label
_atom_site_type_symbol
_atom_site_fract_x
_atom_site_fract_y
_atom_site_fract_z
_atom_site_occupancy
Ti1 Ti 0.000 0.000 0.000 1
Fe1 Fe 0.500 0.500 0.500 1
Sb1 Sb 0.000 0.500 0.000 1
Te1 Te 0.000 0.000 0.500 1
# - excess energy over the best structure of this formula in the dataset (meV/atom) = 51

---

No. 10
# GGA-PBE TiFeSbTe2, optimized geometry
data_TiFeSbTe2
_symmetry_space_group_name_H-M 'P 4/m m m'
_symmetry_Int_Tables_number 123
_symmetry_space_group_name_Hall '-P 4 2'
_cell_length_a 5.270
_cell_length_b 5.270
_cell_length_c 5.315
_cell_angle_alpha 90.00
_cell_angle_beta 90.00
_cell_angle_gamma 90.00
loop_
_atom_site_label
_atom_site_type_symbol
_atom_site_fract_x
_atom_site_fract_y
_atom_site_fract_z
_atom_site_occupancy
Ti1 Ti 0.000 0.000 0.000 1
Fe1 Fe 0.500 0.500 0.500 1
Sb1 Sb 0.000 0.000 0.500 1
Te1 Te 0.000 0.500 0.000 1
# - excess energy over the best structure of this formula in the dataset (meV/atom) = 45

---

No. 11
# GGA-PBE TlFeSbTe2, optimized geometry
data_TlFeSbTe2
_symmetry_space_group_name_H-M 'P 4/m m m'
_symmetry_Int_Tables_number 123
_symmetry_space_group_name_Hall '-P 4 2'
_cell_length_a 5.783
_cell_length_b 5.783
_cell_length_c 5.610
_cell_angle_alpha 90.00
_cell_angle_beta 90.00
_cell_angle_gamma 90.00
loop_
_atom_site_label
_atom_site_type_symbol
_atom_site_fract_x
_atom_site_fract_y
_atom_site_fract_z
_atom_site_occupancy
Tl1 Tl 0.000 0.000 0.000 1
Fe1 Fe 0.500 0.500 0.500 1
Sb1 Sb 0.000 0.000 0.500 1
Te1 Te 0.000 0.500 0.000 1
# - excess energy over the best structure of this formula in the dataset (meV/atom) = 1068

---

No. 12
# GGA-PBE TlFeSb2Te, optimized geometry
data_TlFeSb2Te
_symmetry_space_group_name_H-M 'P 4/m m m'
_symmetry_Int_Tables_number 123
_symmetry_space_group_name_Hall '-P 4 2'
_cell_length_a 4.837
_cell_length_b 4.837
_cell_length_c 5.897
_cell_angle_alpha 90.00
_cell_angle_beta 90.00
_cell_angle_gamma 90.00
loop_
_atom_site_label
_atom_site_type_symbol
_atom_site_fract_x
_atom_site_fract_y
_atom_site_fract_z
_atom_site_occupancy
Tl1 Tl 0.000 0.000 0.000 1
Fe1 Fe 0.500 0.500 0.500 1
Sb1 Sb 0.000 0.500 0.500 1
Te1 Te 0.500 0.500 0.000 1
# - excess energy over the best structure of this formula in the dataset (meV/atom) = 0